The following is a DFT calculation (GGA-PBEsol) of a relaxed LaMg2Ru crystal.

a = 4.0215 Å, b = 4.0215 Å, c = 5.1994 Å
α = 90.00°, β = 90.00°, γ = 90.00°
Closest atoms and distances in Å follow each position.
Fractional positions:
La 0.0000 0.0000 0.5000  4 Ru 2.84
Mg 0.0000 0.5000 0.0000  4 Mg 2.84
Mg 0.5000 0.0000 0.0000  4 Mg 2.84
Ru 0.5000 0.5000 0.5000  4 La 2.84

calculated total energy	-18.7	eV/f.u.
ΔH_f (0 K)	0.0641	eV/atom